Record 1
The following is a PBE calculation of an optimized crystal structure of YFe2TeC, from the Alexandria database.

The density comes out at 5.037 Mg/m³. The calculation puts the uncorrected formation energy at 1.889 eV/atom. Its symmetry is P4/mmm, No. 123.

a = 5.100 Å, b = 4.312 Å, c = 5.100 Å
α = 90.00°, β = 90.00°, γ = 90.00°
Fractional positions:
Te1 0.500 0.500 0.500
C1 0.000 0.500 0.000
Fe1 0.000 0.000 0.500
Fe2 0.500 0.000 0.000
Y1 0.000 0.000 0.000



Record 2
The following is a PBE calculation of an optimized crystal structure of SrFeRu, from the Alexandria database.

The density comes out at 5.725 Mg/m³. Its symmetry is Pm, No. 6.

a = 4.326 Å, b = 4.136 Å, c = 7.938 Å
α = 90.00°, β = 92.85°, γ = 90.00°
Fractional positions:
Fe1 0.906 0.921 0.884
Fe2 0.440 0.921 0.763
Sr1 0.997 0.921 0.438
Sr2 0.480 0.421 0.078
Ru1 0.541 0.421 0.615
Ru2 0.038 0.421 0.761



Record 3
The following is a PBE calculation of an optimized crystal structure of DyLuMgRu, from the Alexandria database.

The density comes out at 8.850 Mg/m³. Its symmetry is F-43m, No. 216.

a = 4.971 Å, b = 4.971 Å, c = 4.971 Å
α = 60.00°, β = 60.00°, γ = 60.00°
Fractional positions:
Mg1 0.250 0.250 0.250
Lu1 0.000 0.000 0.000
Ru1 0.750 0.750 0.750
Dy1 0.500 0.500 0.500



Record 4
The following is a PBE calculation of an optimized crystal structure of YTc2Sn2, from the Alexandria database.

The density comes out at 7.946 Mg/m³. Its symmetry is I4/mmm, No. 139.

a = 4.262 Å, b = 4.262 Å, c = 6.721 Å
α = 71.51°, β = 71.51°, γ = 90.00°
Fractional positions:
Sn1 0.616 0.616 0.768
Sn2 0.384 0.384 0.232
Y1 0.000 0.000 0.000
Tc1 0.250 0.750 0.500
Tc2 0.750 0.250 0.500



Record 5
The following is a PBE calculation of an optimized crystal structure of TeBr, from the Alexandria database.

The density comes out at 5.485 Mg/m³. The calculation puts the uncorrected formation energy at 0.100 eV/atom. Its symmetry is P6_3mc, No. 186.

a = 3.698 Å, b = 3.698 Å, c = 10.608 Å
α = 90.00°, β = 90.00°, γ = 120.00°
Fractional positions:
Te1 0.667 0.333 0.162
Te2 0.333 0.667 0.662
Br1 0.667 0.333 0.920
Br2 0.333 0.667 0.420



Record 6
The following is a PBE calculation of an optimized crystal structure of La2Tb3Rh2, from the Alexandria database.

The density comes out at 8.156 Mg/m³. Its symmetry is C2/m, No. 12.

a = 3.828 Å, b = 6.455 Å, c = 8.783 Å
α = 72.34°, β = 77.41°, γ = 72.75°
Fractional positions:
Tb1 0.500 0.000 0.000
Tb2 0.618 0.189 0.575
Tb3 0.382 0.811 0.425
Rh1 0.824 0.108 0.244
Rh2 0.176 0.892 0.756
La1 0.834 0.527 0.806
La2 0.166 0.473 0.194



Record 7
The following is a PBE calculation of an optimized crystal structure of Cs2HgSbTe4, from the Alexandria database.

The density comes out at 5.175 Mg/m³. The calculation puts the uncorrected formation energy at -0.514 eV/atom. Its symmetry is Fddd, No. 70.

a = 7.188 Å, b = 8.646 Å, c = 12.981 Å
α = 83.39°, β = 73.93°, γ = 65.44°
Fractional positions:
Cs1 0.809 0.000 0.382
Cs2 0.941 0.500 0.118
Cs3 0.559 0.500 0.882
Cs4 0.191 0.000 0.618
Te1 0.533 0.303 0.638
Te2 0.586 0.197 0.138
Te3 0.921 0.803 0.862
Te4 0.164 0.303 0.362
Te5 0.217 0.197 0.862
Te6 0.276 0.803 0.138
Te7 0.474 0.697 0.362
Te8 0.829 0.697 0.638
Hg1 0.500 0.000 0.000
Hg2 0.250 0.500 0.500
Sb1 0.750 0.500 0.500
Sb2 0.000 0.000 0.000



Record 8
The following is a PBE calculation of an optimized crystal structure of SmDyHo2, from the Alexandria database.

The density comes out at 8.429 Mg/m³. Its symmetry is R-3m, No. 166.

a = 3.554 Å, b = 3.554 Å, c = 11.754 Å
α = 81.30°, β = 81.30°, γ = 60.00°
Fractional positions:
Sm1 0.000 0.000 0.000
Dy1 0.500 0.500 0.500
Ho1 0.249 0.249 0.252
Ho2 0.751 0.751 0.748



Record 9
The following is a PBE calculation of an optimized crystal structure of TbPr2Th3Bi6, from the Alexandria database.

The density comes out at 9.646 Mg/m³. Its symmetry is C2/m, No. 12.

a = 4.598 Å, b = 9.176 Å, c = 10.280 Å
α = 102.87°, β = 102.92°, γ = 90.00°
Fractional positions:
Th1 0.500 0.500 0.000
Th2 0.831 0.166 0.663
Th3 0.169 0.834 0.337
Pr1 0.166 0.333 0.333
Pr2 0.834 0.667 0.667
Bi1 0.664 0.080 0.328
Bi2 0.998 0.244 0.997
Bi3 0.002 0.756 0.003
Bi4 0.334 0.415 0.668
Bi5 0.666 0.585 0.332
Bi6 0.336 0.920 0.672
Tb1 0.500 0.000 0.000



Record 10
The following is a PBE calculation of an optimized crystal structure of In2GeAu5, from the Alexandria database.

The density comes out at 13.130 Mg/m³. Its symmetry is P1, No. 1.

a = 7.015 Å, b = 7.128 Å, c = 5.601 Å
α = 128.41°, β = 128.89°, γ = 78.16°
Fractional positions:
Au1 0.594 0.611 0.823
Au2 0.323 0.294 0.977
Au3 0.723 0.782 0.568
Au4 0.215 0.699 0.938
Au5 0.789 0.308 0.061
In1 0.764 0.147 0.417
In2 0.151 0.760 0.429
Ge1 0.217 0.176 0.340



Record 11
The following is a PBE calculation of an optimized crystal structure of TaCrRe, from the Alexandria database.

The density comes out at 15.453 Mg/m³. Its symmetry is Fmm2, No. 42.

a = 6.827 Å, b = 6.634 Å, c = 2.729 Å
α = 82.29°, β = 74.37°, γ = 23.34°
Fractional positions:
Ta1 0.663 0.663 0.337
Cr1 0.996 0.996 0.004
Re1 0.341 0.341 0.659



Record 12
The following is a PBE calculation of an optimized crystal structure of PmPaSbRh, from the Alexandria database.

The density comes out at 10.776 Mg/m³. The calculation puts the uncorrected formation energy at 0.043 eV/atom. Its symmetry is F-43m, No. 216.

a = 5.078 Å, b = 5.078 Å, c = 5.078 Å
α = 60.00°, β = 60.00°, γ = 60.00°
Fractional positions:
Pm1 0.500 0.500 0.500
Rh1 0.250 0.250 0.250
Sb1 0.000 0.000 0.000
Pa1 0.750 0.750 0.750



Computed final energy (eV per atom) in order:
-5.26; -6.16; -5.22; -7.03; -2.31; -6.04; -2.85; -4.60; -5.73; -3.39; -11.29; -6.39